# Tb4Ho3Pt4

A relaxed structure of Tb4Ho3Pt4 (PBE-GGA, Alexandria via LeMat-Bulk).

Fermi-level density of states in states/eV per cell: 16.9
VASP energy in eV/atom: -6.030
Mass density in g/cm³: 11.61
Magnetic moment in μB/cell: 0.00
Energy relative to the elements in eV/f.u.: -9.91

Cell and atoms, written as CIF:
```
data_Tb4Ho3Pt4
_chemical_formula_sum 'Tb8 Ho6 Pt8'
_cell_length_a 3.798
_cell_length_b 8.787
_cell_length_c 16.376
_cell_angle_alpha 90.00
_cell_angle_beta 90.00
_cell_angle_gamma 90.00
_space_group_name_H-M_alt 'I m m m'
_space_group_IT_number 71
_space_group_name_Hall '-I 2 2'
loop_
_atom_site_label
_atom_site_type_symbol
_atom_site_fract_x
_atom_site_fract_y
_atom_site_fract_z
Tb1 Tb 0.000 0.187 0.165
Ho1 Ho 0.000 0.000 0.402
Ho2 Ho 0.000 0.500 0.500
Pt1 Pt 0.000 0.295 0.000
Pt2 Pt 0.000 0.500 0.243
```